[1]
Entry from the Alexandria database: PmYIn2Se4 after structural relaxation (GGA-PBE).

a = 4.2059 Å, b = 8.1008 Å, c = 7.2849 Å
α = 72.58°, β = 90.00°, γ = 90.00°
Positions (direct):
In  0.0000  0.0000  0.0000
In  0.5000  0.0000  0.5000
Se  0.5000  0.2899  0.7311
Se  0.5000  0.7101  0.2689
Se  0.0000  0.2870  0.2432
Se  0.0000  0.7130  0.7568
Pm  0.5000  0.5000  0.0000
Y  0.0000  0.5000  0.5000

As for the electronic total energy: -5.1300 eV per atom. The magnetic moment comes out at 0.000 μB per formula unit. Its space group is P2/m. The value obtained for the formation energy from raw total energies is -30.01 kcal/mol of atoms.

---

[2]
Entry from the Alexandria database: Pm12In5Si2 after structural relaxation (GGA-PBE).

a = 8.2866 Å, b = 9.4460 Å, c = 8.9983 Å
α = 105.36°, β = 90.00°, γ = 116.02°
Positions (direct):
Pm  0.1714  0.7522  0.4275
Pm  0.5808  0.7522  0.4275
Pm  0.0912  0.6574  0.8166
Pm  0.5662  0.6574  0.8166
Pm  0.4338  0.3426  0.1834
Pm  0.8286  0.2478  0.5725
Pm  0.9147  0.8294  0.1464
Pm  0.0853  0.1706  0.8536
Pm  0.4829  0.9658  0.1977
Pm  0.5171  0.0342  0.8023
Pm  0.4192  0.2478  0.5725
Pm  0.9088  0.3426  0.1834
Si  0.2304  0.0000  0.0000
Si  0.7696  0.0000  0.0000
In  0.2884  0.5767  0.0821
In  0.7116  0.4233  0.9179
In  0.2274  0.4549  0.5076
In  0.7726  0.5451  0.4924
In  0.0000  0.0000  0.5000

As for the electronic total energy: -4.5344 eV per atom. The magnetic moment comes out at 0.001 μB per formula unit. Its space group is C2/m. The value obtained for the formation energy from raw total energies is -5.59 kcal/mol of atoms.

---

[3]
Entry from the Alexandria database: Pm12InSi7 after structural relaxation (GGA-PBE).

a = 9.0465 Å, b = 9.0465 Å, c = 9.0465 Å
α = 109.61°, β = 109.61°, γ = 109.61°
Positions (direct):
Pm  0.6624  0.2809  0.1406
Pm  0.7191  0.8594  0.3376
Pm  0.3376  0.7191  0.8594
Pm  0.8594  0.3376  0.7191
Pm  0.3118  0.3955  0.0939
Pm  0.6882  0.6045  0.9061
Pm  0.0939  0.3118  0.3955
Pm  0.2809  0.1406  0.6624
Pm  0.9061  0.6882  0.6045
Pm  0.6045  0.9061  0.6882
Pm  0.3955  0.0939  0.3118
Pm  0.1406  0.6624  0.2809
Si  0.7240  0.9751  0.0709
Si  0.9291  0.2760  0.0249
Si  0.0709  0.7240  0.9751
Si  0.0249  0.9291  0.2760
Si  0.5000  0.5000  0.5000
Si  0.2760  0.0249  0.9291
Si  0.9751  0.0709  0.7240
In  0.0000  0.0000  0.0000

As for the electronic total energy: -5.2362 eV per atom. The magnetic moment comes out at 0.000 μB per formula unit. Its space group is R-3. The value obtained for the formation energy from raw total energies is -8.09 kcal/mol of atoms.

---

[4]
Entry from the Alexandria database: Pm5In2Si after structural relaxation (GGA-PBE).

a = 5.1547 Å, b = 6.9128 Å, c = 13.0823 Å
α = 90.00°, β = 90.00°, γ = 90.00°
Positions (direct):
Pm  0.0000  0.3717  0.2832
Pm  0.5000  0.6698  0.4132
Pm  0.0000  0.1283  0.7832
Pm  0.5000  0.3302  0.5868
Pm  0.0000  0.0000  0.5000
Pm  0.0000  0.5000  0.0000
Pm  0.5000  0.1698  0.0868
Pm  0.0000  0.6283  0.7168
Pm  0.0000  0.8717  0.2168
Pm  0.5000  0.8302  0.9132
In  0.5000  0.8854  0.6570
In  0.5000  0.6146  0.1570
In  0.5000  0.1146  0.3430
In  0.5000  0.3854  0.8430
Si  0.0000  0.5000  0.5000
Si  0.0000  0.0000  0.0000

As for the electronic total energy: -4.7706 eV per atom. The magnetic moment comes out at 0.000 μB per formula unit. Its space group is Pbam. The value obtained for the formation energy from raw total energies is -10.12 kcal/mol of atoms.

---

[5]
Entry from the Alexandria database: PmInSi4 after structural relaxation (GGA-PBE).

a = 5.3942 Å, b = 5.3942 Å, c = 5.3942 Å
α = 60.00°, β = 60.00°, γ = 60.00°
Positions (direct):
Si  0.6261  0.6261  0.6261
Si  0.6261  0.6261  0.1216
Si  0.6261  0.1216  0.6261
Si  0.1216  0.6261  0.6261
Pm  0.2500  0.2500  0.2500
In  0.0000  0.0000  0.0000

As for the electronic total energy: -4.9515 eV per atom. The magnetic moment comes out at 0.000 μB per formula unit. Its space group is F-43m. The value obtained for the formation energy from raw total energies is -2.03 kcal/mol of atoms.

---

[6]
Entry from the Alexandria database: PmInSi after structural relaxation (GGA-PBE).

a = 5.0097 Å, b = 5.0097 Å, c = 6.2493 Å
α = 90.00°, β = 90.00°, γ = 105.79°
Positions (direct):
Pm  0.6796  0.3204  0.7500
Pm  0.3204  0.6796  0.2500
In  0.7100  0.2900  0.2500
In  0.2900  0.7100  0.7500
Si  0.0000  0.0000  0.0000
Si  0.0000  0.0000  0.5000

As for the electronic total energy: -4.4663 eV per atom. The magnetic moment comes out at 0.000 μB per formula unit. Its space group is Cmcm. The value obtained for the formation energy from raw total energies is -3.74 kcal/mol of atoms.

---

[7]
Entry from the Alexandria database: PmInSi after structural relaxation (GGA-PBE).

a = 4.2307 Å, b = 3.8378 Å, c = 9.2740 Å
α = 90.01°, β = 76.83°, γ = 90.00°
Positions (direct):
In  0.3756  0.9152  0.5237
In  0.7993  0.4151  0.6757
Si  0.6270  0.4150  0.0197
Si  0.5479  0.9151  0.1795
Pm  0.9968  0.4151  0.2822
Pm  0.1781  0.9150  0.9170

As for the electronic total energy: -4.8302 eV per atom. The magnetic moment comes out at 0.000 μB per formula unit. Its space group is P2_1/m. The value obtained for the formation energy from raw total energies is -12.13 kcal/mol of atoms.

---

[8]
Entry from the Alexandria database: PmInSi2 after structural relaxation (GGA-PBE).

a = 4.8911 Å, b = 4.8911 Å, c = 7.1743 Å
α = 70.07°, β = 70.07°, γ = 60.00°
Positions (direct):
In  0.0000  0.0000  0.0000
Si  0.8723  0.8723  0.3830
Si  0.1277  0.1277  0.6170
Pm  0.5000  0.5000  0.5000

As for the electronic total energy: -4.1510 eV per atom. The magnetic moment comes out at 0.000 μB per formula unit. Its space group is R-3m. The value obtained for the formation energy from raw total energies is 9.98 kcal/mol of atoms.

---

[9]
Entry from the Alexandria database: Pm4InSi3 after structural relaxation (GGA-PBE).

a = 4.4854 Å, b = 4.0483 Å, c = 11.1577 Å
α = 90.00°, β = 90.00°, γ = 90.00°
Positions (direct):
Pm  0.0000  0.5000  0.8529
Pm  0.5000  0.5000  0.3688
Pm  0.0000  0.0000  0.1497
Pm  0.5000  0.0000  0.6378
Si  0.0000  0.5000  0.5739
Si  0.0000  0.0000  0.4313
Si  0.5000  0.0000  0.9123
In  0.5000  0.5000  0.0733

As for the electronic total energy: -5.4174 eV per atom. The magnetic moment comes out at 0.048 μB per formula unit. Its space group is Pmm2. The value obtained for the formation energy from raw total energies is -15.36 kcal/mol of atoms.

---

[10]
Entry from the Alexandria database: Pm6In3Si after structural relaxation (GGA-PBE).

a = 7.9795 Å, b = 7.9795 Å, c = 7.9795 Å
α = 60.00°, β = 60.00°, γ = 60.00°
Positions (direct):
In  0.2500  0.2500  0.2500
In  0.7500  0.7500  0.7500
In  0.5000  0.5000  0.5000
Pm  0.2420  0.2420  0.7580
Pm  0.2420  0.7580  0.2420
Pm  0.7580  0.7580  0.2420
Pm  0.2420  0.7580  0.7580
Pm  0.7580  0.2420  0.2420
Pm  0.7580  0.2420  0.7580
Si  0.0000  0.0000  0.0000

As for the electronic total energy: -4.2128 eV per atom. The magnetic moment comes out at 0.000 μB per formula unit. Its space group is Fm-3m. The value obtained for the formation energy from raw total energies is 0.03 kcal/mol of atoms.

---

[11]
Entry from the Alexandria database: PmIn2Si after structural relaxation (GGA-PBE).

a = 4.9117 Å, b = 4.3801 Å, c = 4.3801 Å
α = 90.00°, β = 90.00°, γ = 90.00°
Positions (direct):
Si  0.5000  0.5000  0.5000
Pm  0.5000  0.0000  0.0000
In  0.0000  0.5000  0.0000
In  0.0000  0.0000  0.5000

As for the electronic total energy: -4.2450 eV per atom. The magnetic moment comes out at 0.000 μB per formula unit. Its space group is P4/mmm. The value obtained for the formation energy from raw total energies is -7.66 kcal/mol of atoms.

---

[12]
Entry from the Alexandria database: PmInSi after structural relaxation (GGA-PBE).

a = 4.5155 Å, b = 4.3475 Å, c = 4.3475 Å
α = 120.00°, β = 90.00°, γ = 90.00°
Positions (direct):
Pm  0.6899  0.6667  0.3333
Si  0.0606  0.0000  0.0000
In  0.2495  0.3333  0.6667

As for the electronic total energy: -4.7420 eV per atom. The magnetic moment comes out at 0.000 μB per formula unit. Its space group is P3m1. The value obtained for the formation energy from raw total energies is -10.10 kcal/mol of atoms.

---

[13]
Entry from the Alexandria database: Pm4InSi2 after structural relaxation (GGA-PBE).

a = 4.7765 Å, b = 4.7765 Å, c = 10.8450 Å
α = 77.28°, β = 77.28°, γ = 60.00°
Positions (direct):
Si  0.4016  0.4016  0.7953
Si  0.5984  0.5984  0.2047
Pm  0.1136  0.1136  0.6593
Pm  0.8864  0.8864  0.3407
Pm  0.2987  0.2987  0.1038
Pm  0.7013  0.7013  0.8962
In  0.5000  0.5000  0.5000

As for the electronic total energy: -5.0628 eV per atom. The magnetic moment comes out at 0.000 μB per formula unit. Its space group is R-3m. The value obtained for the formation energy from raw total energies is -9.40 kcal/mol of atoms.

---

[14]
Entry from the Alexandria database: Pm6InSi2 after structural relaxation (GGA-PBE).

a = 8.7672 Å, b = 8.7672 Å, c = 8.7672 Å
α = 106.13°, β = 110.02°, γ = 112.33°
Positions (direct):
Si  0.6264  0.0000  0.6264
Si  0.5000  0.6130  0.1130
Si  0.3736  0.0000  0.3736
Si  0.5000  0.3870  0.8870
Pm  0.9081  0.7231  0.1850
Pm  0.2054  0.2394  0.4448
Pm  0.4619  0.2769  0.1850
Pm  0.5381  0.7231  0.8150
Pm  0.7946  0.7606  0.5552
Pm  0.0919  0.2769  0.8150
Pm  0.7946  0.2394  0.0341
Pm  0.2950  0.9749  0.6799
Pm  0.2950  0.6151  0.3201
Pm  0.2054  0.7606  0.9659
Pm  0.7050  0.0251  0.3201
Pm  0.7050  0.3849  0.6799
In  0.0000  0.0000  0.0000
In  0.0000  0.5000  0.5000

As for the electronic total energy: -5.1739 eV per atom. The magnetic moment comes out at 0.000 μB per formula unit. Its space group is Immm. The value obtained for the formation energy from raw total energies is -11.47 kcal/mol of atoms.

---

[15]
Entry from the Alexandria database: Pm5InSi2 after structural relaxation (GGA-PBE).

a = 7.8539 Å, b = 7.8539 Å, c = 9.1594 Å
α = 115.39°, β = 115.39°, γ = 90.00°
Positions (direct):
Pm  0.6864  0.1864  0.7230
Pm  0.4634  0.3136  0.2770
Pm  0.8136  0.9634  0.2770
Pm  0.5366  0.6864  0.7230
Pm  0.3136  0.8136  0.2770
Pm  0.5000  0.5000  0.0000
Pm  0.1864  0.0366  0.7230
Pm  0.0366  0.5366  0.7230
Pm  0.0000  0.0000  0.0000
Pm  0.9634  0.4634  0.2770
Si  0.6181  0.1181  0.0000
Si  0.8819  0.6181  0.0000
Si  0.3819  0.8819  0.0000
Si  0.1181  0.3819  0.0000
In  0.7500  0.7500  0.5000
In  0.2500  0.2500  0.5000

As for the electronic total energy: -5.2217 eV per atom. The magnetic moment comes out at 0.001 μB per formula unit. Its space group is I4/mcm. The value obtained for the formation energy from raw total energies is -12.79 kcal/mol of atoms.

---

[16]
Entry from the Alexandria database: Pm6InSi2 after structural relaxation (GGA-PBE).

a = 4.3674 Å, b = 8.2102 Å, c = 8.2102 Å
α = 120.00°, β = 90.00°, γ = 90.00°
Positions (direct):
Pm  0.0000  0.0000  0.7167
Pm  0.5000  0.5888  0.5888
Pm  0.5000  0.0000  0.4112
Pm  0.5000  0.4112  0.0000
Pm  0.0000  0.7167  0.0000
Pm  0.0000  0.2833  0.2833
In  0.5000  0.0000  0.0000
Si  0.0000  0.3333  0.6667
Si  0.0000  0.6667  0.3333

As for the electronic total energy: -5.0909 eV per atom. The magnetic moment comes out at 0.006 μB per formula unit. Its space group is P-62m. The value obtained for the formation energy from raw total energies is -9.56 kcal/mol of atoms.

---

[17]
Entry from the Alexandria database: PmInSi2 after structural relaxation (GGA-PBE).

a = 4.0836 Å, b = 4.5618 Å, c = 4.5618 Å
α = 90.00°, β = 90.00°, γ = 90.00°
Positions (direct):
In  0.5000  0.5000  0.5000
Si  0.0000  0.5000  0.0000
Si  0.0000  0.0000  0.5000
Pm  0.5000  0.0000  0.0000

As for the electronic total energy: -4.8062 eV per atom. The magnetic moment comes out at 0.000 μB per formula unit. Its space group is P4/mmm. The value obtained for the formation energy from raw total energies is -5.13 kcal/mol of atoms.

---

[18]
Entry from the Alexandria database: Pm4In2Si after structural relaxation (GGA-PBE).

a = 5.5161 Å, b = 5.5161 Å, c = 8.6667 Å
α = 108.56°, β = 108.56°, γ = 90.00°
Positions (direct):
In  0.6160  0.6160  0.2321
In  0.3840  0.3840  0.7679
Pm  0.5000  0.0000  0.0000
Pm  0.8169  0.8169  0.6338
Pm  0.1831  0.1831  0.3662
Pm  0.0000  0.5000  0.0000
Si  0.0000  0.0000  0.0000

As for the electronic total energy: -4.5452 eV per atom. The magnetic moment comes out at 0.000 μB per formula unit. Its space group is I4/mmm. The value obtained for the formation energy from raw total energies is -6.30 kcal/mol of atoms.

---

[19]
Entry from the Alexandria database: Pm12InSi5 after structural relaxation (GGA-PBE).

a = 8.7129 Å, b = 8.7129 Å, c = 8.7129 Å
α = 105.56°, β = 112.11°, γ = 110.82°
Positions (direct):
Pm  0.1980  0.9667  0.7687
Pm  0.8020  0.5707  0.7687
Pm  0.9099  0.1813  0.7287
Pm  0.7041  0.6801  0.3842
Pm  0.5474  0.8187  0.7287
Pm  0.4526  0.1813  0.2713
Pm  0.2959  0.3199  0.6158
Pm  0.2959  0.6801  0.9760
Pm  0.8020  0.0333  0.2313
Pm  0.0901  0.8187  0.2713
Pm  0.1980  0.4293  0.2313
Pm  0.7041  0.3199  0.0240
In  0.0000  0.5000  0.5000
Si  0.0000  0.0000  0.0000
Si  0.5000  0.8868  0.3868
Si  0.5000  0.1132  0.6132
Si  0.6237  0.6237  0.0000
Si  0.3763  0.3763  0.0000

As for the electronic total energy: -5.3354 eV per atom. The magnetic moment comes out at 0.000 μB per formula unit. Its space group is Immm. The value obtained for the formation energy from raw total energies is -11.76 kcal/mol of atoms.

---

[20]
Entry from the Alexandria database: PmSmInSi after structural relaxation (GGA-PBE).

a = 5.2727 Å, b = 5.2727 Å, c = 5.2727 Å
α = 60.00°, β = 60.00°, γ = 60.00°
Positions (direct):
In  0.2500  0.2500  0.2500
Si  0.7500  0.7500  0.7500
Sm  0.5000  0.5000  0.5000
Pm  0.0000  0.0000  0.0000

As for the electronic total energy: -4.7954 eV per atom. The magnetic moment comes out at 0.000 μB per formula unit. Its space group is F-43m. The value obtained for the formation energy from raw total energies is -8.94 kcal/mol of atoms.